(1)
Below is a relaxed PmBePdO5 crystal, with properties calculated at the PBE level.

Cell: 5.500 5.500 6.943 Å, 103.02 103.02 108.65°
Positions (direct):
Pm 0.148 0.852 0.750
Pm 0.852 0.148 0.250
Be 0.196 0.804 0.250
Be 0.804 0.196 0.750
Pd 0.500 0.500 0.000
Pd 0.500 0.500 0.500
O 0.103 0.247 0.926
O 0.180 0.599 0.386
O 0.247 0.103 0.426
O 0.401 0.820 0.114
O 0.410 0.590 0.750
O 0.590 0.410 0.250
O 0.599 0.180 0.886
O 0.753 0.897 0.574
O 0.820 0.401 0.614
O 0.897 0.753 0.074

Space-group type   C2/c, No. 15
ΔE_f (raw)   -1383 kJ/mol of formula units
VASP energy   -105.585 eV for the cell shown
Size of the total moment   0.8 μB/f.u.

=====

(2)
Below is a relaxed Pm2BePdO6 crystal, with properties calculated at the PBE level.

Cell: 5.388 5.542 9.256 Å, 90.00 125.44 90.00°
Positions (direct):
Pm 0.239 0.058 0.251
Pm 0.239 0.442 0.751
Pm 0.761 0.558 0.249
Pm 0.761 0.942 0.749
Be 0.500 0.000 0.000
Be 0.500 0.500 0.500
Pd 0.000 0.000 0.500
Pd 0.000 0.500 0.000
O 0.170 0.200 0.957
O 0.170 0.300 0.457
O 0.256 0.715 0.954
O 0.256 0.785 0.454
O 0.348 0.018 0.764
O 0.348 0.482 0.264
O 0.652 0.518 0.736
O 0.652 0.982 0.236
O 0.744 0.215 0.546
O 0.744 0.285 0.046
O 0.830 0.700 0.543
O 0.830 0.800 0.043

Space-group type   P2_1/c, No. 14
ΔE_f (raw)   -2189 kJ/mol of formula units
VASP energy   -141.723 eV for the cell shown
Size of the total moment   0.0 μB/f.u.